{
  "formula": "Li2AlSiBr",
  "functional": "meta-GGA SCAN",
  "state": "single point on PBEsol structure",
  "lattice": [[4.4870, 0.0000, 0.0000], [0.0000, 4.4870, 0.0000], [0.0000, 0.0000, 5.3570]],
  "species": ["Li", "Li", "Al", "Si", "Br"],
  "frac_coords": [[0.0000, 0.5000, 0.0000], [0.5000, 0.0000, 0.0000], [0.0000, 0.0000, 0.5000], [0.5000, 0.5000, 0.5000], [0.5000, 0.5000, 0.0000]],
  "vol_a3_per_cell": 107.9,
  "final_energy_ev_per_atom": -8.21,
  "sg": "P4/mmm"
}